[1]
First-principles (PBE) data for an optimized crystal structure of Ag3Te5Se12, as listed in Alexandria.

Summary:
Total energy in Ry/atom: -0.2304

abc: 14.9790 14.9790 14.9790
angles: 109.47 109.47 109.47
With the nearest neighbours (Å) after each atom.
Fractional positions:
Ag (0.7500, 0.3750, 0.1250)  4 Se 2.69
Ag (0.8750, 0.7500, 0.1250)  4 Se 2.69
Ag (0.3750, 0.7500, 0.6250)  4 Se 2.69
Ag (0.2500, 0.1250, 0.3750)  4 Se 2.69
Ag (0.8750, 0.1250, 0.2500)  4 Se 2.69
Ag (0.3750, 0.6250, 0.2500)  4 Se 2.69
Ag (0.6250, 0.3750, 0.7500)  4 Se 2.69
Ag (0.1250, 0.8750, 0.7500)  4 Se 2.69
Ag (0.7500, 0.8750, 0.6250)  4 Se 2.69
Ag (0.6250, 0.2500, 0.3750)  4 Se 2.69
Ag (0.1250, 0.2500, 0.8750)  4 Se 2.69
Ag (0.2500, 0.6250, 0.8750)  4 Se 2.69
Te (0.1250, 0.3750, 0.2500)  4 Se 2.74
Te (0.0000, 0.5000, 0.0000)  6 Se 2.81
Te (0.0000, 0.0000, 0.0000)  6 Se 2.81
Te (0.3750, 0.2500, 0.1250)  4 Se 2.74
Te (0.5000, 0.0000, 0.5000)  6 Se 2.81
Te (0.5000, 0.5000, 0.0000)  6 Se 2.81
Te (0.1250, 0.7500, 0.3750)  4 Se 2.74
Te (0.7500, 0.1250, 0.8750)  4 Se 2.74
Te (0.7500, 0.6250, 0.3750)  4 Se 2.74
Te (0.3750, 0.1250, 0.7500)  4 Se 2.74
Te (0.6250, 0.8750, 0.2500)  4 Se 2.74
Te (0.5000, 0.5000, 0.5000)  6 Se 2.81
Te (0.5000, 0.0000, 0.0000)  6 Se 2.81
Te (0.0000, 0.0000, 0.5000)  6 Se 2.81
Te (0.2500, 0.3750, 0.6250)  4 Se 2.74
Te (0.2500, 0.8750, 0.1250)  4 Se 2.74
Te (0.0000, 0.5000, 0.5000)  6 Se 2.81
Te (0.8750, 0.2500, 0.6250)  4 Se 2.74
Te (0.6250, 0.7500, 0.8750)  4 Se 2.74
Te (0.8750, 0.6250, 0.7500)  4 Se 2.74
Se (0.6902, 0.1617, 0.0323)  1 Ag 2.69, 2 Te 2.74-2.81
Se (0.3421, 0.5323, 0.3706)  1 Ag 2.69, 2 Te 2.74-2.81
Se (0.9677, 0.3383, 0.3098)  1 Ag 2.69, 2 Te 2.74-2.81
Se (0.5323, 0.1902, 0.1617)  1 Ag 2.69, 2 Te 2.74-2.81
Se (0.5285, 0.6902, 0.6579)  1 Ag 2.69, 2 Te 2.74-2.81
Se (0.9677, 0.6294, 0.1579)  1 Ag 2.69, 2 Te 2.74-2.81
Se (0.3421, 0.8098, 0.4715)  1 Ag 2.69, 2 Te 2.74-2.81
Se (0.1294, 0.9715, 0.1617)  1 Ag 2.69, 2 Te 2.74-2.81
Se (0.6294, 0.9677, 0.6579)  1 Ag 2.69, 2 Te 2.74-2.81
Se (0.6902, 0.5285, 0.1579)  1 Ag 2.69, 2 Te 2.74-2.81
Se (0.8098, 0.4677, 0.3383)  1 Ag 2.69, 2 Te 2.74-2.81
Se (0.8421, 0.8706, 0.0323)  1 Ag 2.69, 2 Te 2.74-2.81
Se (0.1617, 0.6902, 0.5323)  1 Ag 2.69, 2 Te 2.74-2.81
Se (0.3383, 0.3706, 0.0285)  1 Ag 2.69, 2 Te 2.74-2.81
Se (0.0285, 0.8706, 0.3383)  1 Ag 2.69, 2 Te 2.74-2.81
Se (0.4715, 0.1617, 0.6294)  1 Ag 2.69, 2 Te 2.74-2.81
Se (0.0285, 0.1579, 0.1902)  1 Ag 2.69, 2 Te 2.74-2.81
Se (0.4677, 0.6579, 0.1294)  1 Ag 2.69, 2 Te 2.74-2.81
Se (0.8421, 0.9715, 0.3098)  1 Ag 2.69, 2 Te 2.74-2.81
Se (0.1617, 0.4715, 0.1294)  1 Ag 2.69, 2 Te 2.74-2.81
Se (0.3383, 0.9677, 0.8098)  1 Ag 2.69, 2 Te 2.74-2.81
Se (0.6294, 0.6617, 0.4715)  1 Ag 2.69, 2 Te 2.74-2.81
Se (0.8706, 0.8421, 0.5323)  1 Ag 2.69, 2 Te 2.74-2.81
Se (0.8098, 0.3421, 0.9715)  1 Ag 2.69, 2 Te 2.74-2.81
Se (0.3706, 0.3383, 0.5285)  1 Ag 2.69, 2 Te 2.74-2.81
Se (0.1294, 0.1579, 0.4677)  1 Ag 2.69, 2 Te 2.74-2.81
Se (0.1902, 0.6579, 0.0285)  1 Ag 2.69, 2 Te 2.74-2.81
Se (0.1579, 0.0285, 0.6902)  1 Ag 2.69, 2 Te 2.74-2.81
Se (0.6617, 0.0323, 0.1902)  1 Ag 2.69, 2 Te 2.74-2.81
Se (0.8383, 0.5285, 0.8706)  1 Ag 2.69, 2 Te 2.74-2.81
Se (0.5323, 0.3421, 0.8706)  1 Ag 2.69, 2 Te 2.74-2.81
Se (0.5285, 0.8383, 0.3706)  1 Ag 2.69, 2 Te 2.74-2.81
Se (0.9715, 0.8421, 0.8098)  1 Ag 2.69, 2 Te 2.74-2.81
Se (0.9715, 0.1294, 0.6617)  1 Ag 2.69, 2 Te 2.74-2.81
Se (0.8383, 0.3098, 0.4677)  1 Ag 2.69, 2 Te 2.74-2.81
Se (0.1579, 0.1294, 0.9677)  1 Ag 2.69, 2 Te 2.74-2.81
Se (0.6617, 0.6294, 0.9715)  1 Ag 2.69, 2 Te 2.74-2.81
Se (0.3706, 0.0323, 0.3421)  1 Ag 2.69, 2 Te 2.74-2.81
Se (0.3098, 0.4715, 0.8421)  1 Ag 2.69, 2 Te 2.74-2.81
Se (0.1902, 0.5323, 0.6617)  1 Ag 2.69, 2 Te 2.74-2.81
Se (0.8706, 0.0285, 0.8383)  1 Ag 2.69, 2 Te 2.74-2.81
Se (0.6579, 0.1902, 0.5285)  1 Ag 2.69, 2 Te 2.74-2.81
Se (0.4677, 0.8098, 0.8383)  1 Ag 2.69, 2 Te 2.74-2.81
Se (0.0323, 0.3706, 0.8421)  1 Ag 2.69, 2 Te 2.74-2.81
Se (0.4715, 0.3098, 0.3421)  1 Ag 2.69, 2 Te 2.74-2.81
Se (0.0323, 0.6617, 0.6902)  1 Ag 2.69, 2 Te 2.74-2.81
Se (0.6579, 0.4677, 0.6294)  1 Ag 2.69, 2 Te 2.74-2.81
Se (0.3098, 0.8383, 0.9677)  1 Ag 2.69, 2 Te 2.74-2.81



[2]
First-principles (PBE) data for an optimized crystal structure of Ce3SN2, as listed in Alexandria.

Summary:
Total energy in Ry/atom: -0.5817

abc: 3.8267 6.6208 9.6156
angles: 90.00 90.00 106.80
With the nearest neighbours (Å) after each atom.
Fractional positions:
Ce (0.6287, 0.2574, 0.0611)  1 N 2.19
Ce (0.0694, 0.1387, 0.7500)  4 N 2.30-2.56
Ce (0.6287, 0.2574, 0.4389)  1 N 2.19
Ce (0.9306, 0.8613, 0.2500)  4 N 2.30-2.56
Ce (0.3713, 0.7426, 0.9389)  1 N 2.19
Ce (0.3713, 0.7426, 0.5611)  1 N 2.19
S (0.2539, 0.5078, 0.2500)  6 Ce 2.95-3.08
S (0.7461, 0.4922, 0.7500)  6 Ce 2.95-3.08
N (0.0000, 0.0000, 0.0000)  6 Ce 2.56-2.58
N (0.0000, 0.0000, 0.5000)  6 Ce 2.56-2.58
N (0.5317, 0.0635, 0.2500)  4 Ce 2.19-2.30
N (0.4683, 0.9365, 0.7500)  4 Ce 2.19-2.30



[3]
First-principles (PBE) data for an optimized crystal structure of NpHIr, as listed in Alexandria.

Summary:
Offset from the most stable computed form in eV per atom: 0.000

abc: 3.6332 3.7866 3.7866
angles: 120.00 90.00 90.00
With the nearest neighbours (Å) after each atom.
Fractional positions:
Np (0.1862, 0.6667, 0.3333)  3 H 2.19
H (0.1362, 0.0000, 0.0000)  3 Np 2.19
Ir (0.6777, 0.3333, 0.6667)  6 H 2.75-2.94, 6 Np 2.82-2.86



For reference, total magnetization by record: 0.000 3.409 2.866 μB/f.u..
For reference, density by record: 4.90 6.84 15.84 g cm⁻³.